1.
# KNiPt2I

An optimized crystal structure of KNiPt2I (PBE, Alexandria via LeMat-Bulk).

Cell and atoms, written as CIF:
```
data_KNiPt2I
_symmetry_space_group_name_H-M 'P 4/m m m'
_symmetry_Int_Tables_number 123
_symmetry_space_group_name_Hall '-P 4 2'
_cell_length_a 4.791
_cell_length_b 4.791
_cell_length_c 5.246
_cell_angle_alpha 90.00
_cell_angle_beta 90.00
_cell_angle_gamma 90.00
loop_
_atom_site_label
_atom_site_type_symbol
_atom_site_fract_x
_atom_site_fract_y
_atom_site_fract_z
K1 K 0.000 0.000 0.000
Ni1 Ni 0.500 0.500 0.500
Pt1 Pt 0.000 0.500 0.500
I1 I 0.500 0.500 0.000
```

Results
- Formation energy (no corrections): 368 meV per atom

---

2.
# AcZrPt2

An optimized crystal structure of AcZrPt2 (PBE, Alexandria via LeMat-Bulk).

Cell and atoms, written as CIF:
```
data_AcZrPt2
_symmetry_space_group_name_H-M 'R -3 m'
_symmetry_Int_Tables_number 166
_symmetry_space_group_name_Hall '-R 3 2"'
_cell_length_a 4.2875
_cell_length_b 4.2875
_cell_length_c 18.9591
_cell_angle_alpha 90.00
_cell_angle_beta 90.00
_cell_angle_gamma 120.00
loop_
_atom_site_label
_atom_site_type_symbol
_atom_site_fract_x
_atom_site_fract_y
_atom_site_fract_z
Ac1 Ac 0.0000 0.0000 0.0000
Zr1 Zr 0.0000 0.0000 0.5000
Pt1 Pt 0.0000 0.0000 0.2287
```

Results
- ΔE_f: -371 kJ/mol of formula units

---

3.
# KMg2In8

An optimized crystal structure of KMg2In8 (PBE, Alexandria via LeMat-Bulk).

Cell and atoms, written as CIF:
```
data_KMg2In8
_symmetry_space_group_name_H-M 'P 4/m m m'
_symmetry_Int_Tables_number 123
_symmetry_space_group_name_Hall '-P 4 2'
_cell_length_a 5.376
_cell_length_b 5.376
_cell_length_c 11.935
_cell_angle_alpha 90.00
_cell_angle_beta 90.00
_cell_angle_gamma 90.00
loop_
_atom_site_label
_atom_site_type_symbol
_atom_site_fract_x
_atom_site_fract_y
_atom_site_fract_z
K1 K 0.000 0.000 0.000
Mg1 Mg 0.000 0.000 0.362
In1 In 0.000 0.500 0.217
In2 In 0.000 0.500 0.500
In3 In 0.500 0.500 0.360
```

Results
- ΔE_f: 10 kJ/mol of formula units

---

4.
# CeMgBe2Ge2

An optimized crystal structure of CeMgBe2Ge2 (PBE, Alexandria via LeMat-Bulk).

Cell and atoms, written as CIF:
```
data_CeMgBe2Ge2
_symmetry_space_group_name_H-M 'P -3 m 1'
_symmetry_Int_Tables_number 164
_symmetry_space_group_name_Hall '-P 3 2"'
_cell_length_a 3.9752
_cell_length_b 3.9752
_cell_length_c 7.6213
_cell_angle_alpha 90.00
_cell_angle_beta 90.00
_cell_angle_gamma 120.00
loop_
_atom_site_label
_atom_site_type_symbol
_atom_site_fract_x
_atom_site_fract_y
_atom_site_fract_z
Ce1 Ce 0.0000 0.0000 0.0000
Mg1 Mg 0.0000 0.0000 0.5000
Be1 Be 0.3333 0.6667 0.7369
Ge1 Ge 0.3333 0.6667 0.2623
```

Results
- ΔE_f: -181 kJ/mol of formula units

---

5.
# RbHgPt2

An optimized crystal structure of RbHgPt2 (PBE, Alexandria via LeMat-Bulk).

Cell and atoms, written as CIF:
```
data_RbHgPt2
_symmetry_space_group_name_H-M 'P n m a'
_symmetry_Int_Tables_number 62
_cell_length_a 8.074
_cell_length_b 4.642
_cell_length_c 12.052
_cell_angle_alpha 90.00
_cell_angle_beta 90.00
_cell_angle_gamma 90.00
loop_
_symmetry_equiv_pos_as_xyz
'x,y,z'
'-x,-y,-z'
'-x+1/2,-y,z+1/2'
'x+1/2,y,-z+1/2'
'x+1/2,-y+1/2,-z+1/2'
'-x+1/2,y+1/2,z+1/2'
'-x,y+1/2,-z'
'x,-y+1/2,z'
loop_
_atom_site_label
_atom_site_type_symbol
_atom_site_fract_x
_atom_site_fract_y
_atom_site_fract_z
Rb1 Rb 0.148 0.250 0.249
Hg1 Hg 0.088 0.250 0.553
Pt1 Pt 0.077 0.750 0.000
Pt2 Pt 0.247 0.250 0.977
```

Results
- ΔE_f: -56 kJ/mol of formula units

---

6.
# Tm2PdBr

An optimized crystal structure of Tm2PdBr (PBE, Alexandria via LeMat-Bulk).

Cell and atoms, written as CIF:
```
data_Tm2PdBr
_symmetry_space_group_name_H-M 'R 3 m'
_symmetry_Int_Tables_number 160
_symmetry_space_group_name_Hall 'R 3 -2"'
_cell_length_a 4.0312
_cell_length_b 4.0312
_cell_length_c 23.0553
_cell_angle_alpha 90.00
_cell_angle_beta 90.00
_cell_angle_gamma 120.00
loop_
_atom_site_label
_atom_site_type_symbol
_atom_site_fract_x
_atom_site_fract_y
_atom_site_fract_z
Tm1 Tm 0.0000 0.0000 0.0000
Tm2 Tm 0.0000 0.0000 0.2061
Pd1 Pd 0.0000 0.0000 0.6036
Br1 Br 0.0000 0.0000 0.7753
```

Results
- Formation energy (no corrections): -950 meV per atom

---

7.
# HfTi2V2

An optimized crystal structure of HfTi2V2 (PBE, Alexandria via LeMat-Bulk).

Cell and atoms, written as CIF:
```
data_HfTi2V2
_symmetry_space_group_name_H-M 'P 4/m b m'
_symmetry_Int_Tables_number 127
_symmetry_space_group_name_Hall '-P 4 2ab'
_cell_length_a 7.359
_cell_length_b 7.359
_cell_length_c 3.138
_cell_angle_alpha 90.00
_cell_angle_beta 90.00
_cell_angle_gamma 90.00
loop_
_atom_site_label
_atom_site_type_symbol
_atom_site_fract_x
_atom_site_fract_y
_atom_site_fract_z
Hf1 Hf 0.000 0.000 0.000
Ti1 Ti 0.139 0.361 0.000
V1 V 0.147 0.647 0.500
```

Results
- ΔE_f: 120 kJ/mol of formula units

---

8.
# LaTlTc2

An optimized crystal structure of LaTlTc2 (PBE, Alexandria via LeMat-Bulk).

Cell and atoms, written as CIF:
```
data_LaTlTc2
_symmetry_space_group_name_H-M 'I -4 2 d'
_symmetry_Int_Tables_number 122
_symmetry_space_group_name_Hall 'I -4 2bw'
_cell_length_a 4.412
_cell_length_b 4.412
_cell_length_c 19.811
_cell_angle_alpha 90.00
_cell_angle_beta 90.00
_cell_angle_gamma 90.00
loop_
_atom_site_label
_atom_site_type_symbol
_atom_site_fract_x
_atom_site_fract_y
_atom_site_fract_z
La1 La 0.000 0.000 0.000
Tl1 Tl 0.000 0.000 0.500
Tc1 Tc 0.147 0.250 0.125
```

Results
- ΔE_f: 311 kJ/mol of formula units

---

9.
# GaCuSn2

An optimized crystal structure of GaCuSn2 (PBE, Alexandria via LeMat-Bulk).

Cell and atoms, written as CIF:
```
data_GaCuSn2
_symmetry_space_group_name_H-M 'R -3 m'
_symmetry_Int_Tables_number 166
_symmetry_space_group_name_Hall '-R 3 2"'
_cell_length_a 3.2308
_cell_length_b 3.2308
_cell_length_c 29.7286
_cell_angle_alpha 90.00
_cell_angle_beta 90.00
_cell_angle_gamma 120.00
loop_
_atom_site_label
_atom_site_type_symbol
_atom_site_fract_x
_atom_site_fract_y
_atom_site_fract_z
Ga1 Ga 0.0000 0.0000 0.0000
Cu1 Cu 0.0000 0.0000 0.5000
Sn1 Sn 0.0000 0.0000 0.0971
```

Results
- ΔE_f: 65 kJ/mol of formula units

---

10.
# CeDyPaSn

An optimized crystal structure of CeDyPaSn (PBE, Alexandria via LeMat-Bulk).

Cell and atoms, written as CIF:
```
data_CeDyPaSn
_symmetry_space_group_name_H-M 'F -4 3 m'
_symmetry_Int_Tables_number 216
_symmetry_space_group_name_Hall 'F -4 2 3'
_cell_length_a 7.548
_cell_length_b 7.548
_cell_length_c 7.548
_cell_angle_alpha 90.00
_cell_angle_beta 90.00
_cell_angle_gamma 90.00
loop_
_atom_site_label
_atom_site_type_symbol
_atom_site_fract_x
_atom_site_fract_y
_atom_site_fract_z
Ce1 Ce 0.000 0.000 0.000
Dy1 Dy 0.000 0.000 0.500
Pa1 Pa 0.250 0.250 0.250
Sn1 Sn 0.250 0.250 0.750
```

Results
- ΔE_f: -7 kJ/mol of formula units

---

11.
# BaTe2W

An optimized crystal structure of BaTe2W (PBE, Alexandria via LeMat-Bulk).

Cell and atoms, written as CIF:
```
data_BaTe2W
_symmetry_space_group_name_H-M 'F -4 3 m'
_symmetry_Int_Tables_number 216
_symmetry_space_group_name_Hall 'F -4 2 3'
_cell_length_a 7.892
_cell_length_b 7.892
_cell_length_c 7.892
_cell_angle_alpha 90.00
_cell_angle_beta 90.00
_cell_angle_gamma 90.00
loop_
_atom_site_label
_atom_site_type_symbol
_atom_site_fract_x
_atom_site_fract_y
_atom_site_fract_z
Ba1 Ba 0.000 0.000 0.000
Te1 Te 0.000 0.000 0.500
Te2 Te 0.250 0.250 0.750
W1 W 0.250 0.250 0.250
```

Results
- Formation energy (no corrections): 793 meV per atom

---

12.
# TaZn2Mo

An optimized crystal structure of TaZn2Mo (PBE, Alexandria via LeMat-Bulk).

Cell and atoms, written as CIF:
```
data_TaZn2Mo
_symmetry_space_group_name_H-M 'C m m 2'
_symmetry_Int_Tables_number 35
_cell_length_a 3.335
_cell_length_b 4.342
_cell_length_c 8.797
_cell_angle_alpha 90.00
_cell_angle_beta 90.00
_cell_angle_gamma 90.00
loop_
_symmetry_equiv_pos_as_xyz
'x,y,z'
'-x,-y,z'
'-x,y,z'
'x,-y,z'
'x+1/2,y+1/2,z'
'-x+1/2,-y+1/2,z'
'-x+1/2,y+1/2,z'
'x+1/2,-y+1/2,z'
loop_
_atom_site_label
_atom_site_type_symbol
_atom_site_fract_x
_atom_site_fract_y
_atom_site_fract_z
Ta1 Ta 0.000 0.000 0.000
Zn1 Zn 0.000 0.000 0.506
Zn2 Zn 0.000 0.500 0.745
Mo1 Mo 0.000 0.500 0.262
```

Results
- ΔE_f: 13 kJ/mol of formula units

---

13.
# LaEr6Se8

An optimized crystal structure of LaEr6Se8 (PBE, Alexandria via LeMat-Bulk).

Cell and atoms, written as CIF:
```
data_LaEr6Se8
_symmetry_space_group_name_H-M 'R -3'
_symmetry_Int_Tables_number 148
_symmetry_space_group_name_Hall '-R 3'
_cell_length_a 10.9199
_cell_length_b 10.9199
_cell_length_c 12.8565
_cell_angle_alpha 90.00
_cell_angle_beta 90.00
_cell_angle_gamma 120.00
loop_
_atom_site_label
_atom_site_type_symbol
_atom_site_fract_x
_atom_site_fract_y
_atom_site_fract_z
La1 La 0.0000 0.0000 0.0000
Er1 Er 0.0176 0.8210 0.3884
Se1 Se 0.0000 0.0000 0.2381
Se2 Se 0.0094 0.6193 0.2545
```

Results
- Formation energy (no corrections): -1524 meV per atom

---

14.
# Ce2V2N5

An optimized crystal structure of Ce2V2N5 (PBE, Alexandria via LeMat-Bulk).

Cell and atoms, written as CIF:
```
data_Ce2V2N5
_symmetry_space_group_name_H-M 'C 1 2/m 1'
_symmetry_Int_Tables_number 12
_cell_length_a 10.928
_cell_length_b 3.994
_cell_length_c 5.506
_cell_angle_alpha 90.00
_cell_angle_beta 112.22
_cell_angle_gamma 90.00
loop_
_symmetry_equiv_pos_as_xyz
'x,y,z'
'-x,-y,-z'
'-x,y,-z'
'x,-y,z'
'x+1/2,y+1/2,z'
'-x+1/2,-y+1/2,-z'
'-x+1/2,y+1/2,-z'
'x+1/2,-y+1/2,z'
loop_
_atom_site_label
_atom_site_type_symbol
_atom_site_fract_x
_atom_site_fract_y
_atom_site_fract_z
Ce1 Ce 0.101 0.000 0.324
V1 V 0.161 0.500 0.888
N1 N 0.000 0.500 0.000
N2 N 0.150 0.000 0.900
N3 N 0.169 0.500 0.565
```

Results
- Formation energy (no corrections): -1213 meV per atom

---

15.
# ZrZn2Te

An optimized crystal structure of ZrZn2Te (PBE, Alexandria via LeMat-Bulk).

Cell and atoms, written as CIF:
```
data_ZrZn2Te
_symmetry_space_group_name_H-M 'C m m m'
_symmetry_Int_Tables_number 65
_symmetry_space_group_name_Hall '-C 2 2'
_cell_length_a 5.810
_cell_length_b 6.675
_cell_length_c 4.127
_cell_angle_alpha 90.00
_cell_angle_beta 90.00
_cell_angle_gamma 90.00
loop_
_atom_site_label
_atom_site_type_symbol
_atom_site_fract_x
_atom_site_fract_y
_atom_site_fract_z
Zr1 Zr 0.000 0.000 0.000
Zn1 Zn 0.250 0.250 0.500
Te1 Te 0.000 0.500 0.000
```

Results
- Formation energy (no corrections): -147 meV per atom

---

16.
# CaAlTc2P

An optimized crystal structure of CaAlTc2P (PBE, Alexandria via LeMat-Bulk).

Cell and atoms, written as CIF:
```
data_CaAlTc2P
_symmetry_space_group_name_H-M 'P 4/m m m'
_symmetry_Int_Tables_number 123
_symmetry_space_group_name_Hall '-P 4 2'
_cell_length_a 4.784
_cell_length_b 4.784
_cell_length_c 4.915
_cell_angle_alpha 90.00
_cell_angle_beta 90.00
_cell_angle_gamma 90.00
loop_
_atom_site_label
_atom_site_type_symbol
_atom_site_fract_x
_atom_site_fract_y
_atom_site_fract_z
Ca1 Ca 0.000 0.000 0.000
Al1 Al 0.500 0.500 0.500
Tc1 Tc 0.000 0.500 0.000
P1 P 0.000 0.000 0.500
```

Results
- ΔE_f: 1026 kJ/mol of formula units

---

17.
# DyErTe2S

An optimized crystal structure of DyErTe2S (PBE, Alexandria via LeMat-Bulk).

Cell and atoms, written as CIF:
```
data_DyErTe2S
_symmetry_space_group_name_H-M 'P 4/n m m'
_symmetry_Int_Tables_number 129
_cell_length_a 4.378
_cell_length_b 4.378
_cell_length_c 15.562
_cell_angle_alpha 90.00
_cell_angle_beta 90.00
_cell_angle_gamma 90.00
loop_
_symmetry_equiv_pos_as_xyz
'x,y,z'
'-x,-y,-z'
'-y+1/2,x,z'
'y+1/2,-x,-z'
'-x+1/2,-y+1/2,z'
'x+1/2,y+1/2,-z'
'y,-x+1/2,z'
'-y,x+1/2,-z'
'x+1/2,-y,-z'
'-x+1/2,y,z'
'-y,-x,-z'
'y,x,z'
'-x,y+1/2,-z'
'x,-y+1/2,z'
'y+1/2,x+1/2,-z'
'-y+1/2,-x+1/2,z'
loop_
_atom_site_label
_atom_site_type_symbol
_atom_site_fract_x
_atom_site_fract_y
_atom_site_fract_z
Dy1 Dy 0.250 0.250 0.101
Er1 Er 0.250 0.250 0.614
Te1 Te 0.250 0.250 0.408
Te2 Te 0.250 0.250 0.799
S1 S 0.250 0.750 0.000
```

Results
- Formation energy (no corrections): -1448 meV per atom

---

18.
# CaRe2Se

An optimized crystal structure of CaRe2Se (PBE, Alexandria via LeMat-Bulk).

Cell and atoms, written as CIF:
```
data_CaRe2Se
_symmetry_space_group_name_H-M 'C m m m'
_symmetry_Int_Tables_number 65
_symmetry_space_group_name_Hall '-C 2 2'
_cell_length_a 3.188
_cell_length_b 4.620
_cell_length_c 9.656
_cell_angle_alpha 90.00
_cell_angle_beta 90.00
_cell_angle_gamma 90.00
loop_
_atom_site_label
_atom_site_type_symbol
_atom_site_fract_x
_atom_site_fract_y
_atom_site_fract_z
Ca1 Ca 0.000 0.000 0.000
Re1 Re 0.000 0.500 0.264
Se1 Se 0.000 0.000 0.500
```

Results
- Formation energy (no corrections): 989 meV per atom

---

| no. | size of the total moment (μB/f.u.) |
| --- | --- |
| 1 | 0.99 |
| 2 | 0.00 |
| 3 | 0.00 |
| 4 | 0.42 |
| 5 | 0.00 |
| 6 | 0.00 |
| 7 | 0.00 |
| 8 | 0.00 |
| 9 | 0.00 |
| 10 | 2.49 |
| 11 | 3.97 |
| 12 | 0.00 |
| 13 | 0.20 |
| 14 | 0.00 |
| 15 | 0.00 |
| 16 | 3.96 |
| 17 | 0.00 |
| 18 | 0.00 |